# PBE-GGA BeSiB, relaxed
data_BeSiB
_chemical_formula_sum 'Be2 Si2 B2'
_cell_length_a 3.252
_cell_length_b 3.805
_cell_length_c 5.511
_cell_angle_alpha 78.82
_cell_angle_beta 80.35
_cell_angle_gamma 79.53
_symmetry_space_group_name_H-M 'P -1'
_symmetry_Int_Tables_number 2
_symmetry_space_group_name_Hall '-P 1'
loop_
_atom_site_label
_atom_site_fract_x
_atom_site_fract_y
_atom_site_fract_z
_atom_site_occupancy
Be1 0.220 0.181 0.454 1
Si1 0.043 0.278 0.867 1
B1 0.397 0.676 0.376 1
# relative energy among the computed polymorphs: 123 meV per atom
# raw formation energy: 0.145 eV per atom
# uncorrected energy: -5.13 eV per atom
# calculated volume: 65 Å³ per cell

# PBE-GGA BeSiB3, relaxed
data_BeSiB3
_chemical_formula_sum 'Be1 Si1 B3'
_cell_length_a 3.661
_cell_length_b 3.661
_cell_length_c 3.661
_cell_angle_alpha 90.00
_cell_angle_beta 90.00
_cell_angle_gamma 90.00
_symmetry_space_group_name_H-M 'P m -3 m'
_symmetry_Int_Tables_number 221
_symmetry_space_group_name_Hall '-P 4 2 3'
loop_
_atom_site_label
_atom_site_fract_x
_atom_site_fract_y
_atom_site_fract_z
_atom_site_occupancy
Be1 0.000 0.000 0.000 1
Si1 0.500 0.500 0.500 1
B1 0.000 0.000 0.500 1
# relative energy among the computed polymorphs: 0 meV per atom
# raw formation energy: 1.622 eV per atom
# uncorrected energy: -4.21 eV per atom
# calculated volume: 49 Å³ per cell

# PBE-GGA BeSi3B, relaxed
data_BeSi3B
_chemical_formula_sum 'Be1 Si3 B1'
_cell_length_a 4.166
_cell_length_b 4.166
_cell_length_c 4.166
_cell_angle_alpha 90.00
_cell_angle_beta 90.00
_cell_angle_gamma 90.00
_symmetry_space_group_name_H-M 'P m -3 m'
_symmetry_Int_Tables_number 221
_symmetry_space_group_name_Hall '-P 4 2 3'
loop_
_atom_site_label
_atom_site_fract_x
_atom_site_fract_y
_atom_site_fract_z
_atom_site_occupancy
Be1 0.000 0.000 0.000 1
Si1 0.000 0.000 0.500 1
B1 0.500 0.500 0.500 1
# relative energy among the computed polymorphs: 443 meV per atom
# raw formation energy: 1.356 eV per atom
# uncorrected energy: -3.98 eV per atom
# calculated volume: 72 Å³ per cell

# PBE-GGA BeSiB, relaxed
data_BeSiB
_chemical_formula_sum 'Be6 Si6 B6'
_cell_length_a 3.2513
_cell_length_b 3.2513
_cell_length_c 20.6118
_cell_angle_alpha 90.00
_cell_angle_beta 90.00
_cell_angle_gamma 120.00
_symmetry_space_group_name_H-M 'R 3 m'
_symmetry_Int_Tables_number 160
_symmetry_space_group_name_Hall 'R 3 -2"'
loop_
_atom_site_label
_atom_site_fract_x
_atom_site_fract_y
_atom_site_fract_z
_atom_site_occupancy
Be1 0.0000 0.0000 0.0000 1
Be2 0.0000 0.0000 0.2654 1
Si1 0.0000 0.0000 0.7393 1
Si2 0.0000 0.0000 0.8558 1
B1 0.0000 0.0000 0.3638 1
B2 0.0000 0.0000 0.5582 1
# relative energy among the computed polymorphs: 122 meV per atom
# raw formation energy: 0.144 eV per atom
# uncorrected energy: -5.13 eV per atom
# calculated volume: 189 Å³ per cell

# PBE-GGA BeSiB, relaxed
data_BeSiB
_chemical_formula_sum 'Be6 Si6 B6'
_cell_length_a 3.2360
_cell_length_b 3.2360
_cell_length_c 20.9565
_cell_angle_alpha 90.00
_cell_angle_beta 90.00
_cell_angle_gamma 120.00
_symmetry_space_group_name_H-M 'R 3 m'
_symmetry_Int_Tables_number 160
_symmetry_space_group_name_Hall 'R 3 -2"'
loop_
_atom_site_label
_atom_site_fract_x
_atom_site_fract_y
_atom_site_fract_z
_atom_site_occupancy
Be1 0.0000 0.0000 0.0000 1
Be2 0.0000 0.0000 0.2631 1
Si1 0.0000 0.0000 0.7292 1
Si2 0.0000 0.0000 0.8412 1
B1 0.0000 0.0000 0.5478 1
B2 0.0000 0.0000 0.6332 1
# relative energy among the computed polymorphs: 177 meV per atom
# raw formation energy: 0.200 eV per atom
# uncorrected energy: -5.08 eV per atom
# calculated volume: 190 Å³ per cell

# PBE-GGA BeSiB, relaxed
data_BeSiB
_chemical_formula_sum 'Be6 Si6 B6'
_cell_length_a 3.3369
_cell_length_b 3.3369
_cell_length_c 19.8085
_cell_angle_alpha 90.00
_cell_angle_beta 90.00
_cell_angle_gamma 120.00
_symmetry_space_group_name_H-M 'R 3 m'
_symmetry_Int_Tables_number 160
_symmetry_space_group_name_Hall 'R 3 -2"'
loop_
_atom_site_label
_atom_site_fract_x
_atom_site_fract_y
_atom_site_fract_z
_atom_site_occupancy
Be1 0.0000 0.0000 0.0000 1
Be2 0.0000 0.0000 0.3958 1
Si1 0.0000 0.0000 0.5969 1
Si2 0.0000 0.0000 0.8061 1
B1 0.0000 0.0000 0.4972 1
B2 0.0000 0.0000 0.6976 1
# relative energy among the computed polymorphs: 88 meV per atom
# raw formation energy: 0.110 eV per atom
# uncorrected energy: -5.17 eV per atom
# calculated volume: 191 Å³ per cell

# PBE-GGA BeSiB, relaxed
data_BeSiB
_chemical_formula_sum 'Be2 Si2 B2'
_cell_length_a 3.622
_cell_length_b 3.402
_cell_length_c 6.011
_cell_angle_alpha 90.00
_cell_angle_beta 100.73
_cell_angle_gamma 90.00
_symmetry_space_group_name_H-M 'P 1 2/m 1'
_symmetry_Int_Tables_number 10
_symmetry_space_group_name_Hall '-P 2y'
loop_
_atom_site_label
_atom_site_fract_x
_atom_site_fract_y
_atom_site_fract_z
_atom_site_occupancy
Be1 0.070 0.000 0.326 1
Si1 0.469 0.500 0.806 1
B1 0.418 0.000 0.627 1
# relative energy among the computed polymorphs: 121 meV per atom
# raw formation energy: 0.144 eV per atom
# uncorrected energy: -5.13 eV per atom
# calculated volume: 73 Å³ per cell

# PBE-GGA BeSiB, relaxed
data_BeSiB
_chemical_formula_sum 'Be2 Si2 B2'
_cell_length_a 3.2768
_cell_length_b 3.2768
_cell_length_c 6.7110
_cell_angle_alpha 90.00
_cell_angle_beta 90.00
_cell_angle_gamma 120.00
_symmetry_space_group_name_H-M 'P -3 m 1'
_symmetry_Int_Tables_number 164
_symmetry_space_group_name_Hall '-P 3 2"'
loop_
_atom_site_label
_atom_site_fract_x
_atom_site_fract_y
_atom_site_fract_z
_atom_site_occupancy
Be1 0.3333 0.6667 0.4067 1
Si1 0.0000 0.0000 0.1759 1
B1 0.3333 0.6667 0.7049 1
# relative energy among the computed polymorphs: 0 meV per atom
# raw formation energy: 0.022 eV per atom
# uncorrected energy: -5.25 eV per atom
# calculated volume: 62 Å³ per cell

Number 8 is which compound? BeSiB